Crystalline La3CdO at its relaxed geometry, computed with PBE.

Geometry as POSCAR:
```
La3CdO
1.0
6.155 -7.040 0.000
6.155 7.040 0.000
-0.456 0.000 6.407
La Cd O
12 4 4
Cartesian
4.488 4.839 5.948
4.537 2.736 2.562
7.138 4.839 3.662
4.381 1.033 5.773
7.545 2.736 0.641
4.609 -1.033 2.570
7.245 1.033 3.837
4.309 -2.736 5.765
7.473 -1.033 0.633
4.716 -4.839 2.744
7.317 -2.736 3.845
7.366 -4.839 0.459
1.771 1.005 3.626
1.999 -1.005 0.422
9.854 1.005 5.984
10.083 -1.005 2.781
5.813 2.973 4.805
6.041 0.910 1.602
5.813 -0.910 4.805
6.041 -2.973 1.602
```

Values from the calculation:
energy above the most stable polymorph in this dataset	156	meV per atom
total magnetization	0.000	μB/atom
crystal system	monoclinic
ρ	6522	kg/m³
E	-5.28	eV/atom
N(E_F)	1.06	states/eV per atom
formation energy (no corrections)	-1151	meV per atom